--- a ---
A relaxed structure of MnGaH2O, computed with GGA+U.

Unit cell a=3.0994 b=3.0994 c=6.8969 alpha=90.00 beta=90.00 gamma=120.00
Closest atoms and distances in Å follow each position.
Element x y z (fractional)
Mn1 0.0000 0.0000 0.0000  3 H 1.98
Ga1 0.3333 0.6667 0.3215  3 O 2.16
H1 0.3333 0.6667 0.8775  3 Mn 1.98
H2 0.6667 0.3333 0.6400  1 O 0.99
O1 0.6667 0.3333 0.4965  1 H 0.99

Values from the calculation:
space-group type	P3m1, No. 156


--- b ---
A relaxed structure of MnGaH2O, computed with GGA+U.

Unit cell a=4.5816 b=3.3579 c=5.1414 alpha=90.00 beta=113.20 gamma=90.00
Closest atoms and distances in Å follow each position.
Element x y z (fractional)
Mn1 0.0000 0.0000 0.0000  1 H 1.97, 2 O 2.05
Ga1 0.7256 0.5000 0.3578  3 H 1.72-1.80, 1 O 1.86
H1 0.3210 0.5000 0.2550  1 Ga 1.72
H2 0.7763 0.0000 0.2572  2 Ga 1.80, 1 Mn 1.97
O1 0.8996 0.5000 0.7522  1 Ga 1.86, 2 Mn 2.05

Values from the calculation:
space-group type	Pm, No. 6


If you had to bet on the most stable structure above, which would it be? Bet on b.